1.
Density functional theory data (PBE) for a geometry-optimized RbMgIn6 structure.

Formation enthalpy at 0 K (kJ/mol of formula units): -55.1

Unit cell a=5.223 b=5.223 c=9.041 alpha=90.00 beta=90.00 gamma=90.00
Sites, in units of the cell vectors:
Rb  0.000  0.000  0.000
Mg  0.000  0.000  0.500
In  0.000  0.500  0.330
In  0.000  0.500  0.670
In  0.500  0.000  0.330
In  0.500  0.000  0.670
In  0.500  0.500  0.162
In  0.500  0.500  0.838

---

2.
Density functional theory data (PBE) for a geometry-optimized RbMgIn11 structure.

Formation enthalpy at 0 K (kJ/mol of formula units): -39.6

Unit cell a=8.298 b=8.298 c=8.226 alpha=97.40 beta=97.40 gamma=135.56
Sites, in units of the cell vectors:
Rb  0.000  0.000  0.000
Mg  0.500  0.500  0.500
In  0.000  0.000  0.500
In  0.000  0.500  0.000
In  0.010  0.363  0.362
In  0.289  0.505  0.781
In  0.363  0.010  0.362
In  0.495  0.711  0.219
In  0.500  0.000  0.000
In  0.505  0.289  0.781
In  0.637  0.990  0.638
In  0.711  0.495  0.219
In  0.990  0.637  0.638

---

3.
Density functional theory data (PBE) for a geometry-optimized Rb2MgIn2 structure.

Formation enthalpy at 0 K (kJ/mol of formula units): 69.7

Unit cell a=12.671 b=12.671 c=12.671 alpha=160.48 beta=160.48 gamma=27.74
Sites, in units of the cell vectors:
Rb  0.112  0.112  0.000
Rb  0.888  0.888  0.000
Mg  0.500  0.500  0.000
In  0.250  0.750  0.500
In  0.750  0.250  0.500

---

4.
Density functional theory data (PBE) for a geometry-optimized RbMgIn6 structure.

Formation enthalpy at 0 K (kJ/mol of formula units): -35.5

Unit cell a=11.031 b=11.031 c=11.031 alpha=27.32 beta=27.32 gamma=27.32
Sites, in units of the cell vectors:
Rb  0.000  0.000  0.000
Mg  0.500  0.500  0.500
In  0.134  0.134  0.134
In  0.237  0.237  0.237
In  0.405  0.405  0.405
In  0.595  0.595  0.595
In  0.763  0.763  0.763
In  0.866  0.866  0.866

---

5.
Density functional theory data (PBE) for a geometry-optimized Rb3MgIn structure.

Formation enthalpy at 0 K (kJ/mol of formula units): 154.3

Unit cell a=7.123 b=7.123 c=7.123 alpha=90.00 beta=90.00 gamma=90.00
Sites, in units of the cell vectors:
Rb  0.000  0.000  0.500
Rb  0.000  0.500  0.000
Rb  0.500  0.000  0.000
Mg  0.500  0.500  0.500
In  0.000  0.000  0.000

---

6.
Density functional theory data (PBE) for a geometry-optimized RbMg5In7 structure.

Formation enthalpy at 0 K (kJ/mol of formula units): -84.3

Unit cell a=8.031 b=8.031 c=8.031 alpha=134.41 beta=97.67 gamma=99.59
Sites, in units of the cell vectors:
Rb  0.000  0.000  0.000
Mg  0.495  0.498  0.500
Mg  0.495  0.995  0.997
Mg  0.766  0.266  0.500
Mg  0.998  0.498  0.003
Mg  0.998  0.995  0.500
In  0.203  0.492  0.711
In  0.221  0.721  0.500
In  0.350  0.001  0.349
In  0.352  0.352  0.000
In  0.652  0.001  0.651
In  0.654  0.654  0.000
In  0.781  0.492  0.289

---

The lowest formation enthalpy at 0 K belongs to which entry?
RbMg5In7